Computed, not measured: BaCr2AsO8 after structural relaxation at the PBE with a Hubbard U level of DFT.

Summary:
- Symmetry: P-3, No. 147
- Uncorrected energy: -79.0 eV per cell

Unit cell a=5.3651 b=5.3651 c=7.5449 alpha=90.00 beta=90.00 gamma=120.00
Last column: nearest neighbours and their distance in Å.
Fractional positions:
Ba 0.0000 0.0000 0.0000  12 O 2.94-3.11
Cr 0.3333 0.6667 0.7406  4 O 1.66-1.72
Cr 0.6667 0.3333 0.2594  4 O 1.66-1.72
As 0.0000 0.0000 0.5000  6 O 2.07
O 0.0753 0.3293 0.6735  1 Cr 1.72
O 0.2540 0.9247 0.6735  1 Cr 1.72
O 0.3293 0.2540 0.3265  1 Cr 1.72
O 0.3333 0.6667 0.9609  1 Cr 1.66
O 0.6667 0.3333 0.0391  1 Cr 1.66
O 0.6707 0.7460 0.6735  1 Cr 1.72
O 0.7460 0.0753 0.3265  1 Cr 1.72
O 0.9247 0.6707 0.3265  1 Cr 1.72